# Ac6PdPt2

A geometry-optimized Ac6PdPt2 structure (PBE, Alexandria).

## Properties
DFT formation energy ... -0.70 eV per atom
DFT total energy ... -5.354 eV per atom

CIF file:
```
data_Ac6PdPt2
_cell_length_a 4.167
_cell_length_b 7.222
_cell_length_c 11.126
_cell_angle_alpha 92.81
_cell_angle_beta 90.00
_cell_angle_gamma 106.77
_symmetry_space_group_name_H-M 'P 1'
_symmetry_Int_Tables_number 1
_symmetry_space_group_name_Hall 'P 1'
loop_
_atom_site_label
_atom_site_type_symbol
_atom_site_fract_x
_atom_site_fract_y
_atom_site_fract_z
Ac1 Ac 0.853 0.705 0.396
Ac2 Ac 0.147 0.295 0.604
Ac3 Ac 0.864 0.728 0.053
Ac4 Ac 0.136 0.272 0.947
Ac5 Ac 0.589 0.178 0.253
Ac6 Ac 0.411 0.822 0.747
Pd1 Pd 0.500 0.000 0.500
Pt1 Pt 0.253 0.507 0.201
Pt2 Pt 0.747 0.493 0.799
```